(1)
DFT (PBE) results for a geometry-optimized CaNb2CrOs structure.

## Properties
Final energy: -29.236 eV per cell
SG: P4/mmm, No. 123
Size of the total moment: 0.004 μB/atom
Mass density: 7.86 Mg/m³

a b c (Å): 4.644 4.585 4.644
angles (deg): 90.00 90.00 90.00
Site moments in Bohr magnetons follow the coordinates.
Atoms (fractional coordinates):
Os 0.000 0.500 0.000  0.07
Nb 0.500 0.000 0.000  -0.08
Nb 0.000 0.000 0.500  -0.08
Cr 0.500 0.500 0.500  0.10
Ca 0.000 0.000 0.000  0.00

=====

(2)
DFT (PBE) results for a geometry-optimized AcCe3 structure.

## Properties
Final energy: -21.079 eV per cell
SG: Imm2, No. 44
Size of the total moment: 0.429 μB/atom
Mass density: 8.41 Mg/m³

a b c (Å): 3.571 6.154 6.819
angles (deg): 116.82 105.18 90.00
Site moments in Bohr magnetons follow the coordinates.
Atoms (fractional coordinates):
Ce 0.500 0.494 0.000  0.42
Ce 0.240 0.586 0.481  0.49
Ac 0.000 0.981 0.000  0.01
Ce 0.760 0.105 0.519  0.49

=====

(3)
DFT (PBE) results for a geometry-optimized Ho3NbSe6 structure.

## Properties
Formation energy without anion corrections: -14.12 eV per formula unit
Final energy: -117.658 eV per cell
SG: Cmc2_1, No. 36
Size of the total moment: 0.198 μB/atom
Mass density: 6.84 Mg/m³

a b c (Å): 6.820 8.775 8.775
angles (deg): 101.15 90.00 90.00
Site moments in Bohr magnetons follow the coordinates.
Atoms (fractional coordinates):
Ho 0.486 0.920 0.712  0.08
Ho 0.376 0.400 0.600  0.03
Se 0.181 0.092 0.581  -0.01
Se 0.153 0.767 0.233  0.00
Nb 0.506 0.840 0.160  1.41
Se 0.681 0.908 0.419  -0.01
Se 0.180 0.695 0.632  0.00
Ho 0.986 0.712 0.920  0.08
Se 0.180 0.368 0.305  0.00
Se 0.757 0.998 0.002  -0.01
Se 0.257 0.002 0.998  -0.01
Se 0.181 0.419 0.908  -0.01
Ho 0.876 0.600 0.400  0.03
Ho 0.986 0.080 0.288  0.08
Se 0.681 0.581 0.092  -0.01
Ho 0.486 0.288 0.080  0.08
Se 0.680 0.305 0.368  0.00
Se 0.653 0.233 0.767  0.00
Nb 0.006 0.160 0.840  1.41
Se 0.680 0.632 0.695  0.00

=====

(4)
DFT (PBE) results for a geometry-optimized SmTl2SnSe4 structure.

## Properties
Formation energy without anion corrections: -6.96 eV per formula unit
Final energy: -34.353 eV per cell
SG: P2/m, No. 10
Size of the total moment: 0.000 μB/atom
Mass density: 6.91 Mg/m³

a b c (Å): 4.185 8.049 7.439
angles (deg): 72.34 90.00 90.00
Atoms (fractional coordinates):
Se 0.000 0.710 0.764
Se 0.500 0.709 0.260
Tl 0.000 0.000 0.000
Sn 0.500 0.500 0.000
Se 0.000 0.290 0.236
Tl 0.500 0.000 0.500
Sm 0.000 0.500 0.500
Se 0.500 0.291 0.740

=====

(5)
DFT (PBE) results for a geometry-optimized HoGa structure.

## Properties
Final energy: -17.720 eV per cell
SG: Cmcm, No. 63
Size of the total moment: 0.000 μB/atom
Mass density: 8.23 Mg/m³

a b c (Å): 5.842 5.842 4.014
angles (deg): 90.00 90.00 136.29
Atoms (fractional coordinates):
Ga 0.422 0.578 0.750
Ho 0.139 0.861 0.750
Ga 0.578 0.422 0.250
Ho 0.861 0.139 0.250

=====

(6)
DFT (PBE) results for a geometry-optimized CdCuCl3 structure.

## Properties
Formation energy without anion corrections: -2.03 eV per formula unit
Final energy: -12.579 eV per cell
SG: Pm-3m, No. 221
Size of the total moment: 0.000 μB/atom
Mass density: 4.31 Mg/m³

a b c (Å): 4.774 4.774 4.774
angles (deg): 90.00 90.00 90.00
Atoms (fractional coordinates):
Cl 0.000 0.000 0.500
Cu 0.000 0.000 0.000
Cd 0.500 0.500 0.500
Cl 0.500 0.000 0.000
Cl 0.000 0.500 0.000